[1]
Here is a geometry-optimized NdScMo2N6 structure from Alexandria via LeMat-Bulk. Energies are from PBE-GGA.

Geometry as extended XYZ:
```
20
Lattice="5.727 -4.817 0.000 5.727 4.817 0.000 -2.763 0.000 5.761" Properties=species:S:1:pos:R:3 pbc="T T T"
Nd 3.655 3.867 4.320
Nd 5.037 -3.867 1.440
Sc 5.037 2.152 1.440
Sc 3.655 -2.152 4.320
Mo 1.095 0.804 4.738
Mo 2.477 -0.804 1.857
Mo 6.215 0.804 3.903
Mo 7.597 -0.804 1.023
N -0.559 1.094 3.912
N 1.961 2.345 4.978
N 0.823 -1.094 1.032
N 3.664 0.353 0.797
N 5.350 2.345 3.663
N 2.282 -0.353 3.677
N 6.410 0.353 2.084
N 3.342 -2.345 2.098
N 5.028 -0.353 4.964
N 7.869 1.094 4.729
N 6.731 -2.345 0.783
N 9.250 -1.094 1.848
```

Output
**E_form (uncorrected)**: -804.2 meV per atom
**VASP energy**: -9.0756 eV per atom
**Spin magnetization**: 0.000 μB per atom

---

[2]
Here is a geometry-optimized ScVN3 structure from Alexandria via LeMat-Bulk. Energies are from PBE-GGA.

Geometry as extended XYZ:
```
5
Lattice="4.034 0.000 0.000 0.000 4.034 0.000 0.000 0.000 4.034" Properties=species:S:1:pos:R:3 pbc="T T T"
Sc 0.000 0.000 0.000
V 2.017 2.017 2.017
N 0.000 0.000 2.017
N 0.000 2.017 0.000
N 2.017 0.000 0.000
```

Output
**E_form (uncorrected)**: 1008.8 meV per atom
**VASP energy**: -7.0764 eV per atom
**Spin magnetization**: 0.056 μB per atom

---

[3]
Here is a geometry-optimized Tl2ZnSe structure from Alexandria via LeMat-Bulk. Energies are from PBE-GGA.

Geometry as extended XYZ:
```
8
Lattice="3.903 0.000 0.000 0.000 4.223 0.000 0.000 0.000 13.867" Properties=species:S:1:pos:R:3 pbc="T T T"
Tl 0.000 0.000 0.000
Tl 0.000 2.111 2.780
Tl 1.952 0.000 9.713
Tl 1.952 2.111 6.934
Zn 0.000 2.111 10.715
Zn 1.952 0.000 3.782
Se 0.000 0.000 5.485
Se 1.952 2.111 12.418
```

Output
**ΔE to the lowest computed polymorph**: 46 meV per atom
**E_form (uncorrected)**: -138.7 meV per atom
**VASP energy**: -2.5115 eV per atom
**Spin magnetization**: 0.000 μB per atom

---

[4]
Here is a geometry-optimized CrPtAu structure from Alexandria via LeMat-Bulk. Energies are from PBE-GGA.

Geometry as extended XYZ:
```
6
Lattice="2.780 0.000 0.000 0.000 2.780 0.000 0.000 0.000 11.806" Properties=species:S:1:pos:R:3 pbc="T T T"
Cr 0.000 0.000 0.000
Cr 1.390 1.390 5.903
Pt 0.000 0.000 7.584
Pt 1.390 1.390 1.681
Au 0.000 0.000 3.944
Au 1.390 1.390 9.847
```

Output
**ΔE to the lowest computed polymorph**: 41 meV per atom
**Energy of formation from the pure elements**: 0.1 eV per formula unit
**VASP energy**: -6.2824 eV per atom
**Spin magnetization**: 0.307 μB per atom

---

[5]
Here is a geometry-optimized CuGeN3 structure from Alexandria via LeMat-Bulk. Energies are from PBE-GGA.

Geometry as extended XYZ:
```
5
Lattice="3.774 0.000 0.000 0.000 3.774 0.000 0.000 0.000 3.774" Properties=species:S:1:pos:R:3 pbc="T T T"
Cu 0.000 0.000 0.000
Ge 1.887 1.887 1.887
N 0.000 1.887 1.887
N 1.887 0.000 1.887
N 1.887 1.887 0.000
```

Output
**E_form (uncorrected)**: 1736.6 meV per atom
**VASP energy**: -5.0013 eV per atom
**Spin magnetization**: 0.000 μB per atom

---

[6]
Here is a geometry-optimized K2CaPbS structure from Alexandria via LeMat-Bulk. Energies are from PBE-GGA.

Geometry as extended XYZ:
```
5
Lattice="6.385 0.000 0.000 0.000 6.385 0.000 0.000 0.000 6.073" Properties=species:S:1:pos:R:3 pbc="T T T"
K 0.000 3.192 0.000
K 3.192 0.000 0.000
Ca 0.000 0.000 3.037
Pb 0.000 0.000 0.000
S 3.192 3.192 3.037
```

Output
**E_form (uncorrected)**: 119.5 meV per atom
**VASP energy**: -2.2870 eV per atom
**Spin magnetization**: 0.364 μB per atom